(1)
VASP calculation (GGA-PBE) on a geometry-optimized Pr4PCCl2 structure.

a = 3.970 Å, b = 7.014 Å, c = 7.499 Å
α = 107.75°, β = 90.00°, γ = 90.00°
Sites, in units of the cell vectors:
P: 0.500 0.500 0.000
C: 0.000 0.000 0.000
Pr: 0.000 0.761 0.205
Pr: 0.500 0.789 0.802
Pr: 0.000 0.239 0.795
Pr: 0.500 0.211 0.198
Cl: 0.000 0.500 0.500
Cl: 0.500 0.000 0.500

Results
The calculation puts the raw total energy at -47.81 eV per cell. Its space group is P2/m, No. 10. The value obtained for the total moment is 0.00 μB per formula unit. As for the crystal system: monoclinic. The calculation puts the energy relative to the elements, uncorrected at -1296 meV per atom.

(2)
VASP calculation (GGA-PBE) on a geometry-optimized PuScGaGe structure.

a = 4.897 Å, b = 4.897 Å, c = 4.897 Å
α = 60.00°, β = 60.00°, γ = 60.00°
Sites, in units of the cell vectors:
Ge: 0.750 0.750 0.750
Ga: 0.250 0.250 0.250
Sc: 0.000 0.000 0.000
Pu: 0.500 0.500 0.500

Results
The calculation puts the raw total energy at -30.15 eV per cell. Its space group is F-43m, No. 216. The value obtained for the total moment is 5.55 μB per formula unit. As for the crystal system: cubic. Its formation energy is -0.461 eV per atom.

(3)
VASP calculation (GGA-PBE) on a geometry-optimized Sr2GaPdSe structure.

a = 5.793 Å, b = 5.022 Å, c = 5.793 Å
α = 90.00°, β = 90.00°, γ = 90.00°
Sites, in units of the cell vectors:
Pd: 0.500 0.500 0.500
Sr: 0.000 0.000 0.500
Sr: 0.500 0.000 0.000
Ga: 0.000 0.500 0.000
Se: 0.000 0.000 0.000

Results
The calculation puts the raw total energy at -16.67 eV per cell. Its space group is P4/mmm, No. 123. The value obtained for the total moment is 0.00 μB per formula unit. As for the crystal system: tetragonal. The calculation puts the energy relative to the elements, uncorrected at -321 meV per atom.

(4)
VASP calculation (GGA-PBE) on a geometry-optimized Dy7Er5 structure.

a = 3.532 Å, b = 9.347 Å, c = 11.945 Å
α = 73.78°, β = 81.50°, γ = 79.11°
Sites, in units of the cell vectors:
Er: 0.694 0.361 0.251
Er: 0.000 0.000 0.000
Er: 0.167 0.167 0.500
Er: 0.833 0.833 0.500
Er: 0.306 0.639 0.749
Dy: 0.361 0.028 0.250
Dy: 0.028 0.694 0.250
Dy: 0.667 0.667 0.999
Dy: 0.639 0.972 0.750
Dy: 0.333 0.333 0.001
Dy: 0.500 0.500 0.500
Dy: 0.972 0.306 0.750

Results
The calculation puts the raw total energy at -54.97 eV per cell. Its space group is C2/m, No. 12. The value obtained for the total moment is 0.00 μB per formula unit. As for the crystal system: monoclinic. Its formation energy is 0.005 eV per atom.

(5)
VASP calculation (GGA-PBE) on a geometry-optimized KPu2O5 structure.

a = 3.519 Å, b = 6.865 Å, c = 6.865 Å
α = 48.42°, β = 75.15°, γ = 75.15°
Sites, in units of the cell vectors:
O: 0.334 0.424 0.908
O: 0.334 0.908 0.424
O: 0.666 0.576 0.092
O: 0.000 0.500 0.500
O: 0.666 0.092 0.576
Pu: 0.823 0.677 0.677
Pu: 0.177 0.323 0.323
K: 0.000 0.000 0.000

Results
The calculation puts the raw total energy at -76.03 eV per cell. Its space group is Immm, No. 71. The value obtained for the total moment is 7.00 μB per formula unit. As for the crystal system: orthorhombic. The calculation puts the energy relative to the elements, uncorrected at -2685 meV per atom.

(6)
VASP calculation (GGA-PBE) on a geometry-optimized Ni2AgRh structure.

a = 4.767 Å, b = 4.767 Å, c = 4.547 Å
α = 75.41°, β = 75.41°, γ = 32.86°
Sites, in units of the cell vectors:
Ni: 0.016 0.016 0.010
Ni: 0.740 0.740 0.728
Ag: 0.258 0.258 0.219
Rh: 0.486 0.486 0.543

Results
The calculation puts the raw total energy at -20.95 eV per cell. Its space group is Cm, No. 8. The value obtained for the total moment is 2.02 μB per formula unit. As for the crystal system: monoclinic. Its formation energy is 0.204 eV per atom.

(7)
VASP calculation (GGA-PBE) on a geometry-optimized CsTaSb2I structure.

a = 6.199 Å, b = 6.199 Å, c = 6.534 Å
α = 90.00°, β = 90.00°, γ = 90.00°
Sites, in units of the cell vectors:
Ta: 0.500 0.500 0.500
I: 0.000 0.000 0.500
Sb: 0.000 0.500 0.000
Sb: 0.500 0.000 0.000
Cs: 0.000 0.000 0.000

Results
The calculation puts the raw total energy at -11.97 eV per cell. Its space group is P4/mmm, No. 123. The value obtained for the total moment is 1.73 μB per formula unit. As for the crystal system: tetragonal. The calculation puts the energy relative to the elements, uncorrected at 2106 meV per atom.

(8)
VASP calculation (GGA-PBE) on a geometry-optimized HoCoC structure.

a = 3.610 Å, b = 3.610 Å, c = 6.870 Å
α = 90.00°, β = 90.00°, γ = 90.00°
Sites, in units of the cell vectors:
C: 0.000 0.500 0.000
C: 0.500 0.000 0.500
Co: 0.500 0.500 0.500
Co: 0.500 0.500 0.000
Ho: 0.000 0.000 0.750
Ho: 0.000 0.000 0.250

Results
The calculation puts the raw total energy at -43.82 eV per cell. Its space group is P4_2/mmc, No. 131. The value obtained for the total moment is 0.06 μB per formula unit. As for the crystal system: tetragonal. Its formation energy is -0.335 eV per atom.